First-principles (PBE) data for La3Ga2Ag after structural relaxation, as listed in Alexandria via LeMat-Bulk.

The energy relative to the elements is -457.7 meV/atom. The calculation puts the mass density at 6.71 g/cm3. For the total energy, the calculation gives -4.406 eV per atom.

It has space group P-3m1 (No. 164), with a = 5.3551 Å, b = 5.3551 Å, c = 13.2319 Å, α = 90.00°, β = 90.00° and γ = 120.00°. The distinct sites, in fractional coordinates, are La at (0.0000, 0.0000, 0.2453), La at (0.3333, 0.6667, 0.4144), La at (0.3333, 0.6667, 0.9194), Ga at (0.0000, 0.0000, 0.0000), Ga at (0.0000, 0.0000, 0.5000), Ga at (0.3333, 0.6667, 0.1685) and Ag at (0.3333, 0.6667, 0.6690).

=====

First-principles (PBE) data for SrCaZnCl6 after structural relaxation, as listed in Alexandria via LeMat-Bulk.

The value obtained for the formation energy (no corrections) is -1959 meV per atom. The calculation puts the mass density at 2.71 g/cm3. For the total energy, the calculation gives -3.741 eV per atom.

It has space group P-31c (No. 163), with a = 6.7732 Å, b = 6.7732 Å, c = 12.5370 Å, α = 90.00°, β = 90.00° and γ = 120.00°. The distinct sites, in fractional coordinates, are Sr at (0.0000, 0.0000, 0.0000), Ca at (0.3333, 0.6667, 0.2500), Zn at (0.3333, 0.6667, 0.7500) and Cl at (0.0270, 0.3694, 0.6344).

=====

First-principles (PBE) data for Pm7Sm4Tm after structural relaxation, as listed in Alexandria via LeMat-Bulk.

The energy relative to the elements is 220.1 meV/atom. The calculation puts the mass density at 7.15 g/cm3. For the total energy, the calculation gives -4.497 eV per atom.

It has space group C2/m (No. 12), with a = 16.3281 Å, b = 6.0294 Å, c = 9.3636 Å, α = 90.00°, β = 115.97° and γ = 90.00°. The distinct sites, in fractional coordinates, are Pm at (0.0000, 0.0000, 0.0000), Pm at (0.0808, 0.5000, 0.4362), Pm at (0.2072, 0.5000, 0.2243), Pm at (0.2085, 0.5000, 0.8761), Sm at (0.0739, 0.0000, 0.6997), Sm at (0.1741, 0.0000, 0.3891) and Tm at (0.0000, 0.5000, 0.0000).